{
  "formula": "Zr3Ni",
  "functional": "PBE-GGA",
  "state": "optimized geometry",
  "final_energy_ev_per_atom": -7.875,
  "m_tot_mub_per_cell": 0.0,
  "dos_ef_per_ev_cell": 3.77,
  "vol_a3_per_cell": 83.55,
  "sg": "No. 187",
  "e_form_ev_per_atom": -0.02,
  "cell": [[3.316, 0.000, 0.000], [-1.658, 2.872, 0.000], [0.000, 0.000, 8.774]],
  "species": ["Zr", "Zr", "Zr", "Ni"],
  "frac_coords": [[0.000, 0.000, 0.500], [0.333, 0.667, 0.791], [0.333, 0.667, 0.209], [0.000, 0.000, 0.000]]
}

***

{
  "formula": "YHo2Tm5Sc",
  "functional": "PBE-GGA",
  "state": "optimized geometry",
  "final_energy_ev_per_atom": -4.747,
  "m_tot_mub_per_cell": 0.0,
  "dos_ef_per_ev_cell": 29.63,
  "vol_a3_per_cell": 551.57,
  "sg": "No. 36",
  "e_form_ev_per_atom": 0.18,
  "cell": [[5.483, 0.000, 0.000], [-2.741, 9.833, 0.000], [0.000, 0.000, 10.230]],
  "species": ["Sc", "Sc", "Tm", "Tm", "Tm", "Tm", "Tm", "Tm", "Tm", "Tm", "Tm", "Tm", "Y", "Y", "Ho", "Ho", "Ho", "Ho"],
  "frac_coords": [[0.196, 0.393, 0.015], [0.804, 0.607, 0.515], [0.724, 0.449, 0.819], [0.982, 0.965, 0.519], [0.519, 0.039, 0.239], [0.018, 0.035, 0.019], [0.276, 0.551, 0.319], [0.700, 0.400, 0.206], [0.481, 0.961, 0.739], [0.300, 0.600, 0.706], [0.621, 0.242, 0.522], [0.379, 0.758, 0.022], [0.410, 0.820, 0.455], [0.590, 0.180, 0.955], [0.886, 0.772, 0.235], [0.114, 0.228, 0.735], [0.889, 0.778, 0.814], [0.111, 0.222, 0.314]]
}

***

{
  "formula": "Ac2PmErP4",
  "functional": "PBE-GGA",
  "state": "optimized geometry",
  "final_energy_ev_per_atom": -6.379,
  "m_tot_mub_per_cell": 0.0,
  "dos_ef_per_ev_cell": 0.65,
  "vol_a3_per_cell": 217.45,
  "sg": "No. 10",
  "e_form_ev_per_atom": -1.48,
  "cell": [[4.251, 0.000, 0.000], [0.000, 7.371, -0.152], [0.000, 2.587, 6.886]],
  "species": ["Ac", "Ac", "P", "P", "P", "P", "Pm", "Er"],
  "frac_coords": [[0.000, 0.000, 0.000], [0.500, 0.000, 0.500], [0.000, 0.269, 0.248], [0.500, 0.272, 0.738], [0.000, 0.731, 0.752], [0.500, 0.728, 0.262], [0.500, 0.500, 0.000], [0.000, 0.500, 0.500]]
}

***

{
  "formula": "ScBeHg2",
  "functional": "PBE-GGA",
  "state": "optimized geometry",
  "final_energy_ev_per_atom": -2.631,
  "m_tot_mub_per_cell": 0.3,
  "dos_ef_per_ev_cell": 2.67,
  "vol_a3_per_cell": 73.74,
  "sg": "No. 123",
  "e_form_ev_per_atom": 0.03,
  "cell": [[-1.421, -2.689, 1.056], [2.197, -0.242, 2.341], [-4.145, 3.875, 4.290]],
  "species": ["Hg", "Hg", "Sc", "Be"],
  "frac_coords": [[0.000, 0.000, 0.968], [0.000, 0.000, 0.532], [0.500, 0.500, 0.250], [0.500, 0.500, 0.750]]
}